(1)
A plane-wave DFT calculation with PBEsol was carried out for a relaxed structure of KCoAu2.

Output
**Calculated total energy**: -28.2 eV/cell
**Relative energy among the computed polymorphs**: 422 meV/atom
**Energy relative to the elements**: 0.66 eV/atom

Cell lengths 4.105, 4.105, 8.718 Å; angles 90.00, 90.00, 90.00 degrees
Space group I-4m2 (No. 119)
Unique sites:
K 0.000 0.000 0.000 [2 per cell]
Co 0.000 0.500 0.750 [2 per cell]
Au 0.000 0.000 0.500 [2 per cell]
Au 0.000 0.500 0.250 [2 per cell]

=====

(2)
A plane-wave DFT calculation with PBEsol was carried out for a relaxed structure of LiCd2Ni.

Output
**Calculated total energy**: -21.6 eV/cell
**Relative energy among the computed polymorphs**: 81 meV/atom
**Energy relative to the elements**: -0.07 eV/atom

Cell lengths 3.261, 4.283, 8.836 Å; angles 90.00, 90.00, 90.00 degrees
Space group Imm2 (No. 44)
Unique sites:
Li 0.000 0.000 0.000 [2 per cell]
Cd 0.000 0.000 0.468 [2 per cell]
Cd 0.000 0.500 0.235 [2 per cell]
Ni 0.000 0.500 0.729 [2 per cell]

=====

(3)
A plane-wave DFT calculation with PBEsol was carried out for a relaxed structure of ZrSb2Ir.

Output
**Calculated total energy**: -57.1 eV/cell
**Relative energy among the computed polymorphs**: 227 meV/atom

Cell lengths 4.350, 5.313, 6.939 Å; angles 90.00, 90.00, 90.00 degrees
Space group Cmmm (No. 65)
Unique sites:
Zr 0.000 0.000 0.000 [2 per cell]
Sb 0.000 0.500 0.276 [4 per cell]
Ir 0.000 0.000 0.500 [2 per cell]

=====

(4)
A plane-wave DFT calculation with PBEsol was carried out for a relaxed structure of TcOsNO2.

Output
**Calculated total energy**: -40.2 eV/cell

Cell lengths 3.890, 3.890, 3.817 Å; angles 90.00, 90.00, 90.00 degrees
Space group P4/mmm (No. 123)
Unique sites:
Tc 0.000 0.000 0.000 [1 per cell]
Os 0.500 0.500 0.500 [1 per cell]
N 0.500 0.500 0.000 [1 per cell]
O 0.000 0.500 0.500 [2 per cell]

=====

(5)
A plane-wave DFT calculation with PBEsol was carried out for a relaxed structure of KZnSi.

Output
**Calculated total energy**: -14.6 eV/cell

Cell lengths 3.000, 3.000, 14.089 Å; angles 90.00, 90.00, 90.00 degrees
Space group I4mm (No. 107)
Unique sites:
K 0.000 0.000 0.000 [2 per cell]
Zn 0.000 0.000 0.305 [2 per cell]
Si 0.000 0.000 0.688 [2 per cell]

=====

(6)
A plane-wave DFT calculation with PBEsol was carried out for a relaxed structure of TcHg2P.

Output
**Calculated total energy**: -34.8 eV/cell
**Energy relative to the elements**: 0.20 eV/atom

Cell lengths 3.091, 4.870, 10.148 Å; angles 90.00, 90.00, 90.00 degrees
Space group Cmm2 (No. 35)
Unique sites:
Tc 0.000 0.000 0.000 [2 per cell]
Hg 0.000 0.000 0.536 [2 per cell]
Hg 0.000 0.500 0.242 [2 per cell]
P 0.000 0.500 0.839 [2 per cell]